1) The following is a PBE-GGA calculation of an optimized crystal structure of NaIn3Pb3, from Alexandria.

Cell: 7.756 7.756 7.066 Å, 90.06 90.06 89.10°
Fractional positions:
Na (0.177, 0.177, 0.000)
Na (0.823, 0.823, 0.000)
In (0.162, 0.838, 0.500)
In (0.244, 0.756, 0.000)
In (0.247, 0.247, 0.499)
In (0.753, 0.753, 0.501)
In (0.756, 0.244, 0.000)
In (0.838, 0.162, 0.500)
Pb (0.000, 0.500, 0.254)
Pb (0.000, 0.500, 0.746)
Pb (0.500, 0.000, 0.254)
Pb (0.500, 0.000, 0.746)
Pb (0.500, 0.500, 0.248)
Pb (0.500, 0.500, 0.752)

Results
- magnetization (μB/f.u.) = 0.000
- calculated volume (A^3/atom) = 30.358


2) The following is a PBE-GGA calculation of an optimized crystal structure of NaIn3Pb3, from Alexandria.

Cell: 8.364 8.364 8.364 Å, 90.00 90.00 90.00°
Fractional positions:
Na (0.000, 0.000, 0.000)
Na (0.500, 0.500, 0.500)
In (0.000, 0.250, 0.500)
In (0.000, 0.750, 0.500)
In (0.250, 0.500, 0.000)
In (0.500, 0.000, 0.250)
In (0.500, 0.000, 0.750)
In (0.750, 0.500, 0.000)
Pb (0.000, 0.500, 0.250)
Pb (0.000, 0.500, 0.750)
Pb (0.250, 0.000, 0.500)
Pb (0.500, 0.250, 0.000)
Pb (0.500, 0.750, 0.000)
Pb (0.750, 0.000, 0.500)

Results
- magnetization (μB/f.u.) = 0.000
- calculated volume (A^3/atom) = 41.796


Most stable: 1)


1) The following is a PBE-GGA calculation of an optimized crystal structure of Na2In2Pb3, from Alexandria.

Cell: 6.544 6.544 10.262 Å, 117.42 117.42 33.27°
Fractional positions:
Na (0.225, 0.225, 0.293)
Na (0.775, 0.775, 0.707)
In (0.156, 0.156, 0.878)
In (0.844, 0.844, 0.122)
Pb (0.461, 0.461, 0.629)
Pb (0.500, 0.500, 0.000)
Pb (0.539, 0.539, 0.371)

Results
- magnetization (μB/f.u.) = 0.000
- calculated volume (A^3/atom) = 30.202


2) The following is a PBE-GGA calculation of an optimized crystal structure of Na2In2Pb3, from Alexandria.

Cell: 5.957 5.957 7.550 Å, 95.95 95.95 48.79°
Fractional positions:
Na (0.079, 0.079, 0.218)
Na (0.921, 0.921, 0.782)
In (0.363, 0.363, 0.070)
In (0.637, 0.637, 0.930)
Pb (0.211, 0.211, 0.663)
Pb (0.500, 0.500, 0.500)
Pb (0.789, 0.789, 0.337)

Results
- magnetization (μB/f.u.) = 0.000
- calculated volume (A^3/atom) = 28.614


Most stable: 2)


1) The following is a PBE-GGA calculation of an optimized crystal structure of NaPmInPb, from Alexandria.

Cell: 4.578 4.843 4.974 Å, 90.00 90.00 90.00°
Fractional positions:
Na (0.000, 0.000, 0.000)
Pm (0.000, 0.500, 0.500)
In (0.500, 0.500, 0.000)
Pb (0.500, 0.000, 0.500)

Results
- magnetization (μB/f.u.) = 0.000
- calculated volume (A^3/atom) = 27.573


2) The following is a PBE-GGA calculation of an optimized crystal structure of NaPmInPb, from Alexandria.

Cell: 5.435 5.435 5.435 Å, 60.00 60.00 60.00°
Fractional positions:
Na (0.000, 0.000, 0.000)
Pm (0.500, 0.500, 0.500)
In (0.750, 0.750, 0.750)
Pb (0.250, 0.250, 0.250)

Results
- magnetization (μB/f.u.) = 0.000
- calculated volume (A^3/atom) = 28.378


Most stable: 1)


1) The following is a PBE-GGA calculation of an optimized crystal structure of NaPrInPb, from Alexandria.

Cell: 4.634 4.877 5.013 Å, 90.00 90.00 90.00°
Fractional positions:
Na (0.000, 0.000, 0.000)
Pr (0.000, 0.500, 0.500)
In (0.500, 0.500, 0.000)
Pb (0.500, 0.000, 0.500)

Results
- magnetization (μB/f.u.) = 0.000
- calculated volume (A^3/atom) = 28.326


2) The following is a PBE-GGA calculation of an optimized crystal structure of NaPrInPb, from Alexandria.

Cell: 5.478 5.478 5.478 Å, 60.00 60.00 60.00°
Fractional positions:
Na (0.000, 0.000, 0.000)
Pr (0.500, 0.500, 0.500)
In (0.250, 0.250, 0.250)
Pb (0.750, 0.750, 0.750)

Results
- magnetization (μB/f.u.) = 0.000
- calculated volume (A^3/atom) = 29.067


Most stable: 1)


1) The following is a PBE-GGA calculation of an optimized crystal structure of RbNaInPb, from Alexandria.

Cell: 5.731 5.731 5.731 Å, 60.00 60.00 60.00°
Fractional positions:
Rb (0.000, 0.000, 0.000)
Na (0.250, 0.250, 0.250)
In (0.750, 0.750, 0.750)
Pb (0.500, 0.500, 0.500)

Results
- magnetization (μB/f.u.) = 0.000
- calculated volume (A^3/atom) = 33.272


2) The following is a PBE-GGA calculation of an optimized crystal structure of RbNaInPb, from Alexandria.

Cell: 5.220 5.220 7.591 Å, 110.32 110.32 59.65°
Fractional positions:
Rb (0.000, 0.000, 0.000)
Na (0.802, 0.802, 0.402)
In (0.560, 0.560, 0.681)
Pb (0.190, 0.190, 0.569)

Results
- magnetization (μB/f.u.) = 0.000
- calculated volume (A^3/atom) = 40.900


Most stable: 2)


1) The following is a PBE-GGA calculation of an optimized crystal structure of RbNa2InPb, from Alexandria.

Cell: 6.017 6.017 5.921 Å, 90.00 90.00 90.00°
Fractional positions:
Rb (0.000, 0.000, 0.000)
Na (0.000, 0.500, 0.500)
Na (0.500, 0.000, 0.500)
In (0.500, 0.500, 0.500)
Pb (0.500, 0.500, 0.000)

Results
- magnetization (μB/f.u.) = 0.000
- calculated volume (A^3/atom) = 42.877


2) The following is a PBE-GGA calculation of an optimized crystal structure of RbNa2InPb, from Alexandria.

Cell: 6.059 6.059 5.999 Å, 90.00 90.00 90.00°
Fractional positions:
Rb (0.000, 0.000, 0.000)
Na (0.000, 0.500, 0.500)
Na (0.500, 0.000, 0.500)
In (0.500, 0.500, 0.000)
Pb (0.500, 0.500, 0.500)

Results
- magnetization (μB/f.u.) = 0.000
- calculated volume (A^3/atom) = 44.045


Most stable: 2)